## Na2ErCrF8 (PBE with a Hubbard U)

Data for Na2ErCrF8 after structural relaxation.

Symmetry ... P2/m (10)
Energy ... -5.675 eV/atom

Geometry as CIF:
```
data_Na2ErCrF8
_cell_length_a 4.687
_cell_length_b 5.394
_cell_length_c 6.706
_cell_angle_alpha 90.00
_cell_angle_beta 90.00
_cell_angle_gamma 91.66
_symmetry_space_group_name_H-M 'P 1'
_symmetry_Int_Tables_number 1
loop_
_symmetry_equiv_pos_as_xyz
'x,y,z'
loop_
_atom_site_label
_atom_site_fract_x
_atom_site_fract_y
_atom_site_fract_z
Na1 0.500 0.500 0.763
Na2 0.500 0.500 0.237
Er1 0.000 0.000 0.500
Cr1 0.000 0.000 0.000
F1 0.178 0.825 0.228
F2 0.712 0.742 0.000
F3 0.822 0.175 0.228
F4 0.822 0.175 0.772
F5 0.288 0.258 0.000
F6 0.178 0.825 0.772
F7 0.673 0.724 0.500
F8 0.327 0.276 0.500
```